The following is a DFT calculation (PBE) of a relaxed PH2SeS crystal.

Output
Calculated volume   87.57 Å³ per cell
N(E_F)   0.371 states/eV/atom
Total moment   0.0 μB/f.u.
Energy   -3.84 eV/atom

Cell lengths 2.647, 5.599, 6.086 Å; angles 94.13, 90.80, 103.11 degrees
Fractional positions:
P: 0.000 0.000 0.000
H: 0.094 0.184 0.180
H: 0.941 0.852 0.450
Se: 0.105 0.240 0.706
S: 0.851 0.670 0.281